[1]
The following is a PBE-GGA calculation of a relaxed structure of TcSbAu, from Alexandria via LeMat-Bulk.

## Properties
- E_form (uncorrected): 33 kJ/mol of atoms
- Size of the total moment: 0.74 μB per formula unit
- Energy above the lowest structure with this stoichiometry: 0.135 eV per atom

```
TcSbAu
1.0
5.466 0.015 0.000
3.378 4.297 0.000
-4.422 -2.156 2.382
Au Sb Tc
1 1 1
Direct
0.003 0.003 0.000
0.316 0.316 0.000
0.681 0.681 0.000
```

---

[2]
The following is a PBE-GGA calculation of a relaxed structure of CePbAu2, from Alexandria via LeMat-Bulk.

## Properties
- Size of the total moment: 0.68 μB per formula unit
- Formation enthalpy at 0 K: -0.45 eV per atom

```
CePbAu2
1.0
3.786 0.000 0.000
0.000 3.786 0.000
0.000 0.000 6.934
Pb Au Ce
1 2 1
Direct
0.500 0.500 0.000
0.000 0.000 0.733
0.000 0.000 0.267
0.500 0.500 0.500
```

---

[3]
The following is a PBE-GGA calculation of a relaxed structure of KUPN4, from Alexandria via LeMat-Bulk.

## Properties
- E_form (uncorrected): -71 kJ/mol of atoms
- Size of the total moment: 0.00 μB per formula unit

```
KUPN4
1.0
5.469 0.000 -0.013
0.000 5.561 0.000
-2.160 0.000 7.276
K U P N
2 2 2 8
Direct
0.700 0.750 0.933
0.300 0.250 0.067
0.763 0.750 0.453
0.237 0.250 0.547
0.236 0.750 0.342
0.764 0.250 0.658
0.959 0.479 0.670
0.041 0.979 0.330
0.041 0.521 0.330
0.959 0.021 0.670
0.431 0.750 0.214
0.569 0.250 0.786
0.442 0.750 0.555
0.558 0.250 0.445
```

---

[4]
The following is a PBE-GGA calculation of a relaxed structure of Li2BPt3, from Alexandria via LeMat-Bulk.

## Properties
- Size of the total moment: 0.00 μB per formula unit
- Formation enthalpy at 0 K: -0.58 eV per atom
- Energy above the lowest structure with this stoichiometry: 0.000 eV per atom

```
Li2BPt3
1.0
-1.410 3.521 -5.695
-4.425 -4.858 -1.908
-5.025 3.290 3.278
Li B Pt
8 4 12
Direct
0.306 0.306 0.306
0.056 0.444 0.556
0.556 0.056 0.444
0.444 0.556 0.056
0.194 0.694 0.806
0.944 0.944 0.944
0.806 0.194 0.694
0.694 0.806 0.194
0.875 0.375 0.125
0.375 0.125 0.875
0.625 0.625 0.625
0.125 0.875 0.375
0.192 0.058 0.625
0.442 0.375 0.692
0.058 0.625 0.192
0.942 0.125 0.308
0.308 0.942 0.125
0.692 0.442 0.375
0.558 0.875 0.808
0.625 0.192 0.058
0.375 0.692 0.442
0.875 0.808 0.558
0.125 0.308 0.942
0.808 0.558 0.875
```

---

[5]
The following is a PBE-GGA calculation of a relaxed structure of SiBi2O5, from Alexandria via LeMat-Bulk.

## Properties
- E_form (uncorrected): -178 kJ/mol of atoms
- Size of the total moment: 0.00 μB per formula unit
- Energy above the lowest structure with this stoichiometry: 0.000 eV per atom

```
SiBi2O5
1.0
8.186 0.004 0.000
-6.301 5.225 0.000
0.000 0.000 5.407
Si Bi O
2 4 10
Direct
0.677 0.677 0.309
0.323 0.323 0.809
0.947 0.615 0.735
0.053 0.385 0.235
0.385 0.053 0.235
0.615 0.947 0.735
0.760 0.262 0.509
0.240 0.738 0.009
0.738 0.240 0.009
0.262 0.760 0.509
0.916 0.734 0.329
0.084 0.266 0.829
0.477 0.477 0.542
0.523 0.523 0.042
0.734 0.916 0.329
0.266 0.084 0.829
```

---

[6]
The following is a PBE-GGA calculation of a relaxed structure of CoWCl2, from Alexandria via LeMat-Bulk.

## Properties
- E_form (uncorrected): 82 kJ/mol of atoms
- Size of the total moment: 1.83 μB per formula unit
- Energy above the lowest structure with this stoichiometry: 0.969 eV per atom

```
CoWCl2
1.0
-2.189 0.470 1.740
1.714 -3.930 3.218
2.271 2.726 2.120
Co W Cl
1 1 2
Direct
0.500 0.000 0.500
0.000 0.500 0.500
0.000 0.000 0.000
0.500 0.500 0.000
```